# 1
This record from the Alexandria database describes NaPtRh after structural relaxation. The functional is PBE.

Values from the calculation:
N(E_F), states/eV/cell: 7.43
DFT formation energy, eV/atom: 0.0763
Energy, eV/atom: -4.83

abc: 14.460 2.791 2.791
angles: 60.00 90.00 90.00
Sites, in units of the cell vectors:
Na 0.173 0.000 0.000
Na 0.827 0.000 0.000
Pt 0.000 0.668 0.668
Pt 0.500 0.997 0.997
Rh 0.346 0.664 0.664
Rh 0.654 0.664 0.664

---

# 2
This record from the Alexandria database describes NaPtRh2 after structural relaxation. The functional is PBE.

Values from the calculation:
Energy above the most stable polymorph in this dataset, meV per atom: 0
N(E_F), states/eV/cell: 7.01
DFT formation energy, eV/atom: 0.3439
Energy, eV/atom: -5.17

abc: 4.450 4.450 4.450
angles: 60.00 60.00 60.00
Sites, in units of the cell vectors:
Na 0.000 0.000 0.000
Pt 0.500 0.500 0.500
Rh 0.250 0.250 0.250
Rh 0.750 0.750 0.750

---

Among the records above, which one has the lowest DFT formation energy? NaPtRh

---

N(E_F) of number 2 (NaPtRh2)? 7.01 states/eV/cell

---

Number 2 is which compound? NaPtRh2

---

What is the formula in the first record? NaPtRh